# 1
A plane-wave DFT calculation with PBEsol was carried out for a relaxed TlRe2Ag crystal.

POSCAR file:
```
TlRe2Ag
1.0
-1.9052 2.2466 3.9560
1.9052 -2.2466 3.9560
1.9052 2.2466 -3.9560
Tl Re Ag
1 2 1
Cartesian
0.0000 0.0000 0.0000 Tl
0.0000 0.0000 4.1578 Re
0.0000 2.2466 1.8337 Re
1.9052 0.0000 2.0562 Ag
```

## Properties
The formation energy comes out at 0.878 eV/atom. The calculation puts the density of states at the Fermi level at 2.98 states/eV per cell. The offset from the most stable computed form comes out at 0.0 meV per atom. The value obtained for the total magnetization is 0.00 μB/cell.


# 2
A plane-wave DFT calculation with PBEsol was carried out for a relaxed K2TcPt crystal.

POSCAR file:
```
K2TcPt
1.0
2.7940 0.0000 0.0000
0.0000 4.0383 0.0000
-0.1942 0.0000 10.0225
K Tc Pt
2 1 1
Cartesian
0.0000 0.0000 0.0000 K
1.1758 2.0192 4.3315 K
1.1829 2.0192 7.5148 Tc
2.5783 0.0000 6.7156 Pt
```

## Properties
The formation energy comes out at 0.477 eV/atom. The calculation puts the density of states at the Fermi level at 3.10 states/eV per cell. The offset from the most stable computed form comes out at 0.0 meV per atom. The value obtained for the total magnetization is 0.00 μB/cell.


# 3
A plane-wave DFT calculation with PBEsol was carried out for a relaxed SnHgCl2 crystal.

POSCAR file:
```
SnHgCl2
1.0
2.0376 1.1764 10.2037
-2.0376 1.1764 10.2037
0.0000 -2.3528 10.2037
Sn Hg Cl
1 1 2
Cartesian
0.0000 0.0000 0.0000 Sn
0.0000 0.0000 15.3056 Hg
0.0000 0.0000 11.7769 Cl
0.0000 0.0000 18.8343 Cl
```

## Properties
As for the uncorrected formation energy: -581.4 meV per atom. The calculation puts the density of states at the Fermi level at 0.00 states/eV per cell. The offset from the most stable computed form comes out at 0.0 meV per atom. The value obtained for the total magnetization is 0.00 μB/cell.